1.
Material: Li4CoCl
Method: DFT, GGA-PBE
State: relaxed

Crystal system: cubic
Formation energy (no corrections): 0.286 eV per atom

a = 5.355 Å, b = 5.355 Å, c = 5.355 Å
α = 60.00°, β = 60.00°, γ = 60.00°
Fractional positions:
Li 0.124 0.124 0.124
Li 0.124 0.124 0.627
Li 0.124 0.627 0.124
Li 0.627 0.124 0.124
Co 0.750 0.750 0.750
Cl 0.500 0.500 0.500

***

2.
Material: MgTiAl2Cd
Method: DFT, GGA-PBE
State: relaxed

Crystal system: tetragonal
Energy relative to the elements: 0.826 eV per atom

a = 4.885 Å, b = 4.885 Å, c = 5.205 Å
α = 90.00°, β = 90.00°, γ = 90.00°
Fractional positions:
Mg 0.000 0.000 0.000
Ti 0.500 0.500 0.000
Al 0.000 0.500 0.500
Al 0.500 0.000 0.500
Cd 0.500 0.500 0.500

***

3.
Material: CdSn3
Method: DFT, GGA-PBE
State: relaxed

Crystal system: orthorhombic
Energy relative to the elements: 0.076 eV per atom

a = 6.316 Å, b = 6.316 Å, c = 6.316 Å
α = 148.69°, β = 65.37°, γ = 124.22°
Fractional positions:
Cd 0.000 0.000 0.000
Sn 0.424 0.676 0.748
Sn 0.502 0.002 0.500
Sn 0.928 0.676 0.252

***

4.
Material: CsSr2As
Method: DFT, GGA-PBE
State: relaxed

Crystal system: tetragonal
Energy relative to the elements: -0.322 eV per atom

a = 9.357 Å, b = 9.357 Å, c = 9.357 Å
α = 118.83°, β = 118.83°, γ = 92.03°
Fractional positions:
Cs 0.000 0.000 0.000
Cs 0.750 0.250 0.500
Sr 0.322 0.125 0.697
Sr 0.375 0.678 0.803
Sr 0.428 0.625 0.303
Sr 0.875 0.572 0.197
As 0.250 0.750 0.500
As 0.500 0.500 0.000

***

5.
Material: Co2RuPb
Method: DFT, GGA-PBE
State: relaxed

Crystal system: tetragonal
Energy relative to the elements: 0.795 eV per atom

a = 9.345 Å, b = 9.345 Å, c = 9.345 Å
α = 155.89°, β = 155.89°, γ = 34.36°
Fractional positions:
Co 0.045 0.625 0.920
Co 0.375 0.295 0.420
Co 0.705 0.125 0.080
Co 0.875 0.955 0.580
Ru 0.000 0.000 0.000
Ru 0.750 0.250 0.500
Pb 0.250 0.750 0.500
Pb 0.500 0.500 0.000

***

6.
Material: YOs3S
Method: DFT, GGA-PBE
State: relaxed

Crystal system: cubic
Formation energy (no corrections): 3.267 eV per atom

a = 5.013 Å, b = 5.013 Å, c = 5.013 Å
α = 90.00°, β = 90.00°, γ = 90.00°
Fractional positions:
Y 0.000 0.000 0.000
Os 0.000 0.000 0.500
Os 0.000 0.500 0.000
Os 0.500 0.000 0.000
S 0.500 0.500 0.500

***

7.
Material: FePb2
Method: DFT, GGA-PBE
State: relaxed

Crystal system: hexagonal
Energy relative to the elements: 0.494 eV per atom

a = 7.752 Å, b = 7.752 Å, c = 4.014 Å
α = 90.00°, β = 90.00°, γ = 120.00°
Fractional positions:
Fe 0.000 0.000 0.000
Fe 0.333 0.667 0.500
Fe 0.667 0.333 0.500
Pb 0.000 0.260 0.500
Pb 0.000 0.603 0.000
Pb 0.260 0.000 0.500
Pb 0.397 0.397 0.000
Pb 0.603 0.000 0.000
Pb 0.740 0.740 0.500

***

8.
Material: Mg2GaAu
Method: DFT, GGA-PBE
State: relaxed

Crystal system: orthorhombic
Energy relative to the elements: 0.072 eV per atom

a = 6.475 Å, b = 6.475 Å, c = 6.475 Å
α = 153.61°, β = 132.57°, γ = 55.09°
Fractional positions:
Mg 0.235 0.235 0.000
Mg 0.765 0.765 0.000
Ga 0.500 0.500 0.000
Au 0.000 0.000 0.000

***

The theoretical density results, record by record, are as follows: 1.9, 3.2, 7.3, 2.2, 10.4, 9.1, 11.2, 5.9 g/cm3.
The total energy results, record by record, are as follows: -2.4817, -2.7521, -3.1550, -2.5388, -6.0042, -5.5893, -4.7992, -2.3014 eV/atom.
The total magnetization results, record by record, are as follows: 2.6, 0.6, 0.0, 0.0, 4.0, 6.5, 2.3, 0.0 μB per formula unit.